# 1
# YReAu3 | Alexandria via LeMat-Bulk | PBE-GGA | relaxed
data_YReAu3
_cell_length_a 5.375
_cell_length_b 5.375
_cell_length_c 5.375
_cell_angle_alpha 90.00
_cell_angle_beta 90.00
_cell_angle_gamma 90.00
_symmetry_space_group_name_H-M 'P m -3 m'
_symmetry_Int_Tables_number 221
_symmetry_space_group_name_Hall '-P 4 2 3'
loop_
_atom_site_label
_atom_site_type_symbol
_atom_site_fract_x
_atom_site_fract_y
_atom_site_fract_z
Y1 Y 0.000 0.000 0.000
Re1 Re 0.500 0.500 0.500
Au1 Au 0.000 0.000 0.500
# energy relative to the elements = 34.7 kcal/mol of atoms



# 2
# KCo4Mo | Alexandria via LeMat-Bulk | PBE-GGA | relaxed
data_KCo4Mo
_cell_length_a 6.935
_cell_length_b 6.935
_cell_length_c 6.935
_cell_angle_alpha 90.00
_cell_angle_beta 90.00
_cell_angle_gamma 90.00
_symmetry_space_group_name_H-M 'F -4 3 m'
_symmetry_Int_Tables_number 216
_symmetry_space_group_name_Hall 'F -4 2 3'
loop_
_atom_site_label
_atom_site_type_symbol
_atom_site_fract_x
_atom_site_fract_y
_atom_site_fract_z
K1 K 0.000 0.000 0.000
Co1 Co 0.124 0.124 0.376
Mo1 Mo 0.250 0.250 0.750
# energy relative to the elements = 20.1 kcal/mol of atoms



# 3
# Cu3Tc | Alexandria via LeMat-Bulk | PBE-GGA | relaxed
data_Cu3Tc
_cell_length_a 5.363
_cell_length_b 7.716
_cell_length_c 2.477
_cell_angle_alpha 90.00
_cell_angle_beta 90.00
_cell_angle_gamma 90.00
_symmetry_space_group_name_H-M 'C m m m'
_symmetry_Int_Tables_number 65
_symmetry_space_group_name_Hall '-C 2 2'
loop_
_atom_site_label
_atom_site_type_symbol
_atom_site_fract_x
_atom_site_fract_y
_atom_site_fract_z
Cu1 Cu 0.000 0.000 0.000
Cu2 Cu 0.250 0.250 0.500
Tc1 Tc 0.000 0.500 0.000
# energy relative to the elements = 5.0 kcal/mol of atoms



# 4
# Y12Ho5Cd2 | Alexandria via LeMat-Bulk | PBE-GGA | relaxed
data_Y12Ho5Cd2
_cell_length_a 15.566
_cell_length_b 9.317
_cell_length_c 8.231
_cell_angle_alpha 90.00
_cell_angle_beta 90.96
_cell_angle_gamma 90.00
_symmetry_space_group_name_H-M 'C 1 2/m 1'
_symmetry_Int_Tables_number 12
_symmetry_space_group_name_Hall '-C 2y'
loop_
_atom_site_label
_atom_site_type_symbol
_atom_site_fract_x
_atom_site_fract_y
_atom_site_fract_z
Y1 Y 0.053 0.000 0.317
Y2 Y 0.086 0.500 0.888
Y3 Y 0.125 0.196 0.662
Y4 Y 0.152 0.316 0.239
Ho1 Ho 0.000 0.500 0.500
Ho2 Ho 0.194 0.000 0.006
Ho3 Ho 0.236 0.500 0.582
Cd1 Cd 0.000 0.184 0.000
# energy relative to the elements = 1.1 kcal/mol of atoms



# 5
# MgCu2Rh2 | Alexandria via LeMat-Bulk | PBE-GGA | relaxed
data_MgCu2Rh2
_cell_length_a 6.911
_cell_length_b 6.911
_cell_length_c 3.033
_cell_angle_alpha 90.00
_cell_angle_beta 90.00
_cell_angle_gamma 90.00
_symmetry_space_group_name_H-M 'P 4/m b m'
_symmetry_Int_Tables_number 127
_symmetry_space_group_name_Hall '-P 4 2ab'
loop_
_atom_site_label
_atom_site_type_symbol
_atom_site_fract_x
_atom_site_fract_y
_atom_site_fract_z
Mg1 Mg 0.000 0.000 0.000
Cu1 Cu 0.130 0.370 0.000
Rh1 Rh 0.167 0.667 0.500
# energy relative to the elements = -0.2 kcal/mol of atoms



# 6
# Na2HfGaMo | Alexandria via LeMat-Bulk | PBE-GGA | relaxed
data_Na2HfGaMo
_cell_length_a 5.565
_cell_length_b 5.565
_cell_length_c 4.849
_cell_angle_alpha 90.00
_cell_angle_beta 90.00
_cell_angle_gamma 90.00
_symmetry_space_group_name_H-M 'P 4/m m m'
_symmetry_Int_Tables_number 123
_symmetry_space_group_name_Hall '-P 4 2'
loop_
_atom_site_label
_atom_site_type_symbol
_atom_site_fract_x
_atom_site_fract_y
_atom_site_fract_z
Na1 Na 0.000 0.500 0.000
Hf1 Hf 0.000 0.000 0.500
Ga1 Ga 0.500 0.500 0.500
Mo1 Mo 0.000 0.000 0.000
# energy relative to the elements = 28.9 kcal/mol of atoms



# 7
# MgBMo3 | Alexandria via LeMat-Bulk | PBE-GGA | relaxed
data_MgBMo3
_cell_length_a 4.503
_cell_length_b 4.503
_cell_length_c 4.503
_cell_angle_alpha 90.00
_cell_angle_beta 90.00
_cell_angle_gamma 90.00
_symmetry_space_group_name_H-M 'P m -3 m'
_symmetry_Int_Tables_number 221
_symmetry_space_group_name_Hall '-P 4 2 3'
loop_
_atom_site_label
_atom_site_type_symbol
_atom_site_fract_x
_atom_site_fract_y
_atom_site_fract_z
Mg1 Mg 0.000 0.000 0.000
B1 B 0.500 0.500 0.500
Mo1 Mo 0.000 0.000 0.500
# energy relative to the elements = 67.0 kcal/mol of atoms



# 8
# Pm2SiAs | Alexandria via LeMat-Bulk | PBE-GGA | relaxed
data_Pm2SiAs
_cell_length_a 4.344
_cell_length_b 23.324
_cell_length_c 4.046
_cell_angle_alpha 90.00
_cell_angle_beta 90.00
_cell_angle_gamma 90.00
_symmetry_space_group_name_H-M 'C m c m'
_symmetry_Int_Tables_number 63
_symmetry_space_group_name_Hall '-C 2c 2'
loop_
_atom_site_label
_atom_site_type_symbol
_atom_site_fract_x
_atom_site_fract_y
_atom_site_fract_z
Pm1 Pm 0.000 0.065 0.250
Pm2 Pm 0.000 0.314 0.250
Si1 Si 0.000 0.466 0.250
As1 As 0.000 0.188 0.250
# formation energy without anion corrections = -1.13 eV/atom



# 9
# BeIr3F | Alexandria via LeMat-Bulk | PBE-GGA | relaxed
data_BeIr3F
_cell_length_a 4.154
_cell_length_b 4.154
_cell_length_c 4.154
_cell_angle_alpha 90.00
_cell_angle_beta 90.00
_cell_angle_gamma 90.00
_symmetry_space_group_name_H-M 'P m -3 m'
_symmetry_Int_Tables_number 221
_symmetry_space_group_name_Hall '-P 4 2 3'
loop_
_atom_site_label
_atom_site_type_symbol
_atom_site_fract_x
_atom_site_fract_y
_atom_site_fract_z
Be1 Be 0.000 0.000 0.000
Ir1 Ir 0.000 0.000 0.500
F1 F 0.500 0.500 0.500
# formation energy without anion corrections = 0.89 eV/atom



# 10
# SiPd2Au | Alexandria via LeMat-Bulk | PBE-GGA | relaxed
data_SiPd2Au
_cell_length_a 2.935
_cell_length_b 2.935
_cell_length_c 7.104
_cell_angle_alpha 90.00
_cell_angle_beta 90.00
_cell_angle_gamma 90.00
_symmetry_space_group_name_H-M 'P 4/m m m'
_symmetry_Int_Tables_number 123
_symmetry_space_group_name_Hall '-P 4 2'
loop_
_atom_site_label
_atom_site_type_symbol
_atom_site_fract_x
_atom_site_fract_y
_atom_site_fract_z
Si1 Si 0.000 0.000 0.000
Pd1 Pd 0.500 0.500 0.203
Au1 Au 0.000 0.000 0.500
# formation energy without anion corrections = -0.39 eV/atom



# 11
# Ho3ThCd2 | Alexandria via LeMat-Bulk | PBE-GGA | relaxed
data_Ho3ThCd2
_cell_length_a 3.634
_cell_length_b 3.634
_cell_length_c 12.573
_cell_angle_alpha 90.00
_cell_angle_beta 90.00
_cell_angle_gamma 90.00
_symmetry_space_group_name_H-M 'P 4/m m m'
_symmetry_Int_Tables_number 123
_symmetry_space_group_name_Hall '-P 4 2'
loop_
_atom_site_label
_atom_site_type_symbol
_atom_site_fract_x
_atom_site_fract_y
_atom_site_fract_z
Ho1 Ho 0.000 0.000 0.000
Ho2 Ho 0.000 0.000 0.311
Th1 Th 0.500 0.500 0.500
Cd1 Cd 0.500 0.500 0.154
# energy relative to the elements = -4.9 kcal/mol of atoms



# 12
# Li6PbI8 | Alexandria via LeMat-Bulk | PBE-GGA | relaxed
data_Li6PbI8
_cell_length_a 12.264
_cell_length_b 12.264
_cell_length_c 12.264
_cell_angle_alpha 90.00
_cell_angle_beta 90.00
_cell_angle_gamma 90.00
_symmetry_space_group_name_H-M 'F m -3 m'
_symmetry_Int_Tables_number 225
_symmetry_space_group_name_Hall '-F 4 2 3'
loop_
_atom_site_label
_atom_site_type_symbol
_atom_site_fract_x
_atom_site_fract_y
_atom_site_fract_z
Li1 Li 0.000 0.250 0.250
Pb1 Pb 0.000 0.000 0.000
I1 I 0.000 0.000 0.260
I2 I 0.250 0.250 0.250
# formation energy without anion corrections = -1.05 eV/atom



Let's list mass density in order: 9258, 7383, 9351, 5889, 8190, 4314, 5873, 6369, 14007, 11886, 9518, 4551 kg/m3.
Let's list V in order: 31.07, 13.90, 12.81, 31.41, 14.49, 30.04, 18.26, 25.62, 14.34, 15.29, 27.67, 30.75 Å³/atom.